# 1
Below is an optimized crystal structure of LaHg2, with properties calculated at the GGA-PBE level.

a b c (Å): 6.098 6.098 6.098
angles (deg): 60.00 60.00 60.00
Atoms (fractional coordinates):
1 Hg 0.625 0.625 0.125
2 Hg 0.125 0.625 0.625
3 La 0.250 0.250 0.250
4 Hg 0.625 0.625 0.625
5 Hg 0.625 0.125 0.625
6 La 0.000 0.000 0.000

Computed properties:
Total magnetization, μB per formula unit: 0.000
Total energy, eV per atom: -2.19
V, A^3/atom: 26.7

=====

# 2
Below is an optimized crystal structure of TmMgInNi, with properties calculated at the GGA-PBE level.

a b c (Å): 4.841 4.841 4.841
angles (deg): 60.00 60.00 60.00
Atoms (fractional coordinates):
1 In 0.000 0.000 0.000
2 Tm 0.750 0.750 0.750
3 Ni 0.500 0.500 0.500
4 Mg 0.250 0.250 0.250

Computed properties:
Total magnetization, μB per formula unit: 0.000
Total energy, eV per atom: -3.89
V, A^3/atom: 20.0

=====

# 3
Below is an optimized crystal structure of Tb3Nd6Er2Tl, with properties calculated at the GGA-PBE level.

a b c (Å): 6.233 6.233 11.812
angles (deg): 95.11 95.11 120.14
Atoms (fractional coordinates):
1 Er 0.334 0.666 0.000
2 Nd 0.590 0.918 0.753
3 Nd 0.410 0.082 0.247
4 Tb 0.832 0.168 0.500
5 Er 0.666 0.334 0.000
6 Nd 0.918 0.590 0.753
7 Tb 0.168 0.832 0.500
8 Tl 0.000 0.000 0.000
9 Nd 0.082 0.410 0.247
10 Nd 0.754 0.754 0.248
11 Tb 0.500 0.500 0.500
12 Nd 0.246 0.246 0.752

Computed properties:
Total magnetization, μB per formula unit: 0.000
Total energy, eV per atom: -4.51
V, A^3/atom: 32.5

=====

no.,D(E_F) (states/eV/atom)
1,0.7902
2,0.3910
3,1.1921